Here is a relaxed Sr2YCoCu2O7 crystal from the Alexandria database. Energies are from GGA+U.

Values from the calculation:
Size of the total moment in μB per atom: 0.309
E in eV per cell: -331.98

Unit cell a=23.149 b=5.496 c=5.424 alpha=90.00 beta=90.00 gamma=90.00
Space group Ima2 (No. 46)
Symmetry-distinct sites (fractional):
Sr1 0.152 0.012 0.000 x8
Y1 0.000 0.000 0.998 x4
Co1 0.250 0.564 0.035 x4
Cu1 0.072 0.000 0.497 x8
O1 0.062 0.245 0.752 x8
O2 0.064 0.746 0.743 x8
O3 0.176 0.035 0.479 x8
O4 0.250 0.610 0.394 x4